(1)
Density functional theory data (GGA-PBE) for an optimized crystal structure of Bi14Rh3.

Geometry as POSCAR:
```
Bi14Rh3
1.0
0.000 8.685 16.034
3.580 0.000 16.034
3.580 8.685 0.000
Bi Rh
28 6
Direct
0.093 0.440 0.227 Bi
0.163 0.587 0.163 Bi
0.168 0.686 0.469 Bi
0.175 0.680 0.822 Bi
0.176 0.178 0.320 Bi
0.177 0.469 0.686 Bi
0.178 0.176 0.825 Bi
0.227 0.741 0.093 Bi
0.259 0.773 0.560 Bi
0.314 0.832 0.823 Bi
0.320 0.825 0.176 Bi
0.413 0.837 0.413 Bi
0.440 0.093 0.741 Bi
0.469 0.177 0.168 Bi
0.531 0.823 0.832 Bi
0.560 0.907 0.259 Bi
0.587 0.163 0.587 Bi
0.680 0.175 0.824 Bi
0.686 0.168 0.177 Bi
0.741 0.227 0.440 Bi
0.773 0.259 0.907 Bi
0.822 0.824 0.175 Bi
0.823 0.531 0.314 Bi
0.824 0.822 0.680 Bi
0.825 0.320 0.178 Bi
0.832 0.314 0.531 Bi
0.837 0.413 0.837 Bi
0.907 0.560 0.773 Bi
0.000 0.000 0.000 Rh
0.000 0.000 0.500 Rh
0.000 0.500 0.000 Rh
0.125 0.125 0.125 Rh
0.500 0.000 0.000 Rh
0.875 0.875 0.875 Rh
```

Calculated formation energy = -0.110 eV per atom
Final energy = -4.6030 eV per atom
Volume = 29.33 Å³ per atom
M_tot = 0.0 μB per formula unit


(2)
Density functional theory data (GGA-PBE) for an optimized crystal structure of Bi4Rh3.

Geometry as POSCAR:
```
Bi4Rh3
1.0
4.328 2.499 5.472
-4.328 2.499 5.472
0.000 -4.998 5.472
Bi Rh
8 6
Direct
0.250 0.250 0.250 Bi
0.252 0.252 0.725 Bi
0.252 0.725 0.252 Bi
0.275 0.748 0.748 Bi
0.725 0.252 0.252 Bi
0.748 0.275 0.748 Bi
0.748 0.748 0.275 Bi
0.750 0.750 0.750 Bi
0.000 0.500 0.500 Rh
0.087 0.087 0.087 Rh
0.500 0.000 0.500 Rh
0.500 0.500 0.000 Rh
0.500 0.500 0.500 Rh
0.913 0.913 0.913 Rh
```

Calculated formation energy = 0.002 eV per atom
Final energy = -5.3665 eV per atom
Volume = 25.37 Å³ per atom
M_tot = 0.0 μB per formula unit


(3)
Density functional theory data (GGA-PBE) for an optimized crystal structure of Bi3Rh.

Geometry as POSCAR:
```
Bi3Rh
1.0
3.324 0.000 0.000
0.000 3.407 0.000
0.000 0.000 9.726
Bi Rh
3 1
Direct
0.000 0.000 0.000 Bi
0.000 0.500 0.324 Bi
0.500 0.500 0.706 Bi
0.500 0.000 0.482 Rh
```

Calculated formation energy = 0.001 eV per atom
Polymorph energy (0 for the lowest one) = 153 meV per atom
Final energy = -4.7478 eV per atom
Volume = 27.53 Å³ per atom
M_tot = 0.0 μB per formula unit


(4)
Density functional theory data (GGA-PBE) for an optimized crystal structure of BiRh4.

Geometry as POSCAR:
```
BiRh4
1.0
4.912 0.000 0.000
0.000 4.912 0.000
0.000 0.000 4.912
Bi Rh
1 4
Direct
0.000 0.000 0.000 Bi
0.000 0.000 0.500 Rh
0.000 0.500 0.000 Rh
0.500 0.000 0.000 Rh
0.500 0.500 0.500 Rh
```

Calculated formation energy = 1.667 eV per atom
Final energy = -4.9900 eV per atom
Volume = 23.70 Å³ per atom
M_tot = 2.9 μB per formula unit


We obtain DOS(E_F) values of 19.098 8.363 2.103 8.037 states/eV/cell for the records listed above, in that order.